Record 1
Here is an optimized crystal structure of CaRe3Ni from the Alexandria database. Energies are from PBE-GGA.

a b c (Å): 4.553 4.553 4.553
angles (deg): 90.00 90.00 90.00
Fractional coordinates of all 5 atoms:
1 Re 0.500 0.000 0.000
2 Re 0.000 0.000 0.500
3 Re 0.000 0.500 0.000
4 Ni 0.000 0.000 0.000
5 Ca 0.500 0.500 0.500



Record 2
Here is an optimized crystal structure of Ca2ReNi from the Alexandria database. Energies are from PBE-GGA.

a b c (Å): 4.126 4.481 5.647
angles (deg): 66.61 90.00 90.00
Fractional coordinates of all 4 atoms:
1 Re 0.500 0.577 0.721
2 Ni 0.000 0.672 0.530
3 Ca 0.500 0.271 0.334
4 Ca 0.000 0.980 0.915



Record 3
Here is an optimized crystal structure of CaRe2Ni2 from the Alexandria database. Energies are from PBE-GGA.

a b c (Å): 3.786 3.786 6.330
angles (deg): 72.60 72.60 90.00
Fractional coordinates of all 5 atoms:
1 Ca 0.000 0.000 0.000
2 Re 0.250 0.750 0.500
3 Re 0.750 0.250 0.500
4 Ni 0.604 0.604 0.791
5 Ni 0.396 0.396 0.209



Record 4
Here is an optimized crystal structure of Ca2ReNi from the Alexandria database. Energies are from PBE-GGA.

a b c (Å): 5.381 5.381 2.855
angles (deg): 90.01 90.01 105.11
Fractional coordinates of all 4 atoms:
1 Ca 0.000 0.000 0.000
2 Ca 0.500 0.500 0.000
3 Re 0.000 0.500 0.500
4 Ni 0.500 0.000 0.500



Record 5
Here is an optimized crystal structure of CaReNiS2 from the Alexandria database. Energies are from PBE-GGA.

Properties
formation energy from raw total energies = 34.8 kcal/mol of atoms

a b c (Å): 5.020 4.543 5.020
angles (deg): 90.00 90.00 90.00
Site moments in Bohr magnetons follow the coordinates.
Fractional coordinates of all 5 atoms:
1 Ca 0.000 0.000 0.000  -0.01
2 Re 0.500 0.500 0.500  3.60
3 Ni 0.000 0.500 0.000  -0.18
4 S 0.500 0.000 0.000  -0.09
5 S 0.000 0.000 0.500  -0.09



Record 6
Here is an optimized crystal structure of CaRe2NiSe from the Alexandria database. Energies are from PBE-GGA.

Properties
formation energy from raw total energies = 65.5 kcal/mol of atoms

a b c (Å): 4.906 4.906 4.366
angles (deg): 90.00 90.00 90.00
Site moments in Bohr magnetons follow the coordinates.
Fractional coordinates of all 5 atoms:
1 Re 0.000 0.500 0.000  1.62
2 Re 0.500 0.000 0.000  1.62
3 Se 0.500 0.500 0.500  -0.07
4 Ni 0.000 0.000 0.500  0.54
5 Ca 0.000 0.000 0.000  -0.01



Record 7
Here is an optimized crystal structure of CaYReNi2 from the Alexandria database. Energies are from PBE-GGA.

a b c (Å): 4.844 5.052 4.844
angles (deg): 90.00 90.00 90.00
Site moments in Bohr magnetons follow the coordinates.
Fractional coordinates of all 5 atoms:
1 Ni 0.500 0.000 0.000  0.10
2 Ni 0.000 0.000 0.500  0.09
3 Y 0.000 0.000 0.000  -0.03
4 Ca 0.500 0.500 0.500  0.01
5 Re 0.000 0.500 0.000  1.53



Record 8
Here is an optimized crystal structure of CaNi2Rh from the Alexandria database. Energies are from PBE-GGA.

a b c (Å): 4.717 4.717 4.928
angles (deg): 76.83 76.83 36.06
Site moments in Bohr magnetons follow the coordinates.
Fractional coordinates of all 4 atoms:
1 Rh 0.482 0.482 0.571  0.44
2 Ni 0.744 0.744 0.736  0.45
3 Ni 0.021 0.021 0.957  0.41
4 Ca 0.253 0.253 0.236  -0.03



Record 9
Here is an optimized crystal structure of Ca2NiRh3 from the Alexandria database. Energies are from PBE-GGA.

a b c (Å): 5.368 5.368 5.223
angles (deg): 89.99 120.97 119.96
Fractional coordinates of all 6 atoms:
1 Rh 0.000 0.000 0.500
2 Rh 0.500 0.500 0.500
3 Rh 0.500 0.000 0.500
4 Ni 0.000 0.000 0.000
5 Ca 0.251 0.625 0.876
6 Ca 0.749 0.375 0.124



Record 10
Here is an optimized crystal structure of CaNi2Rh from the Alexandria database. Energies are from PBE-GGA.

a b c (Å): 4.220 2.846 5.305
angles (deg): 74.14 90.00 90.00
Site moments in Bohr magnetons follow the coordinates.
Fractional coordinates of all 4 atoms:
1 Ca 0.500 0.796 0.789  0.00
2 Ni 0.500 0.046 0.278  0.09
3 Ni 0.000 0.182 0.015  0.02
4 Rh 0.000 0.476 0.418  0.06



Record 11
Here is an optimized crystal structure of Ca2Ni15Rh2 from the Alexandria database. Energies are from PBE-GGA.

a b c (Å): 6.337 6.337 6.337
angles (deg): 82.99 82.99 82.99
Site moments in Bohr magnetons follow the coordinates.
Fractional coordinates of all 19 atoms:
1 Ni 0.655 0.155 0.655  0.63
2 Ni 0.845 0.345 0.345  0.63
3 Ni 0.295 0.000 0.705  0.60
4 Ni 0.345 0.345 0.845  0.63
5 Ni 0.705 0.000 0.295  0.60
6 Ni 0.655 0.655 0.155  0.63
7 Ni 0.705 0.295 0.000  0.60
8 Ni 0.000 0.500 0.000  0.60
9 Ni 0.500 0.000 0.000  0.60
10 Ni 0.000 0.705 0.295  0.60
11 Ni 0.000 0.000 0.500  0.60
12 Ni 0.345 0.845 0.345  0.63
13 Ni 0.000 0.295 0.705  0.60
14 Ni 0.155 0.655 0.655  0.63
15 Ni 0.295 0.705 0.000  0.60
16 Ca 0.655 0.655 0.655  -0.03
17 Ca 0.345 0.345 0.345  -0.03
18 Rh 0.102 0.102 0.102  0.73
19 Rh 0.898 0.898 0.898  0.73



Record 12
Here is an optimized crystal structure of CaNiRh4 from the Alexandria database. Energies are from PBE-GGA.

a b c (Å): 5.213 5.213 5.213
angles (deg): 60.00 60.00 60.00
Site moments in Bohr magnetons follow the coordinates.
Fractional coordinates of all 6 atoms:
1 Rh 0.375 0.375 0.876  0.56
2 Rh 0.375 0.375 0.375  0.56
3 Rh 0.876 0.375 0.375  0.56
4 Rh 0.375 0.876 0.375  0.56
5 Ni 0.000 0.000 0.000  1.02
6 Ca 0.750 0.750 0.750  -0.01



no.,electronic total energy (Ry per atom),N(E_F) (states/eV/atom)
1,-0.551,1.9307
2,-0.379,1.3609
3,-0.548,1.5667
4,-0.359,0.9521
5,-0.308,1.1142
6,-0.323,1.0993
7,-0.381,0.9312
8,-0.377,1.3088
9,-0.419,0.9945
10,-0.379,1.2978
11,-0.412,1.3761
12,-0.448,1.9498